{
  "formula": "CaMn5O7",
  "functional": "GGA+U",
  "state": "optimized geometry",
  "lattice_angstrom": [[3.152, 0.000, 0.000], [1.224, 5.181, 0.000], [0.060, 0.139, 18.495]],
  "species": ["Ca", "Ca", "Mn", "Mn", "Mn", "Mn", "Mn", "Mn", "Mn", "Mn", "Mn", "Mn", "O", "O", "O", "O", "O", "O", "O", "O", "O", "O", "O", "O", "O", "O"],
  "fractional_positions": [[0.000, 0.000, 0.000], [0.277, 0.155, 0.496], [0.129, 0.584, 0.248], [0.171, 0.547, 0.740], [0.438, 0.034, 0.176], [0.459, 0.019, 0.824], [0.546, 0.655, 0.402], [0.558, 0.646, 0.593], [0.727, 0.512, 0.094], [0.774, 0.488, 0.902], [0.818, 0.132, 0.321], [0.861, 0.096, 0.666], [0.072, 0.732, 0.831], [0.103, 0.769, 0.148], [0.148, 0.398, 0.349], [0.251, 0.391, 0.640], [0.347, 0.227, 0.087], [0.390, 0.214, 0.919], [0.489, 0.800, 0.696], [0.535, 0.865, 0.275], [0.630, 0.687, 0.997], [0.643, 0.477, 0.503], [0.727, 0.303, 0.223], [0.850, 0.281, 0.770], [0.878, 0.906, 0.568], [0.912, 0.947, 0.410]],
  "energy_ev_per_atom": -7.416,
  "sg": "P1",
  "total_magnetization_mub_per_fu": 1.98
}